Material: HoBRh3
Method: DFT, SCAN
State: single point on PBEsol structure

Results
crystal system = cubic
formation energy from the elements = -0.91 eV/atom
total moment = 0.031 μB per formula unit

Lattice parameters (Å, degrees): 4.1327 4.1327 4.1327 90.00 90.00 90.00
With the nearest neighbours (Å) after each atom.
Element x y z (fractional)
Ho1 0.0000 0.0000 0.0000  12 Rh 2.92
B1 0.5000 0.5000 0.5000  6 Rh 2.07
Rh1 0.0000 0.5000 0.5000  2 B 2.07
Rh2 0.5000 0.0000 0.5000  2 B 2.07
Rh3 0.5000 0.5000 0.0000  2 B 2.07